1.
Compound: InHPd3
Source: Alexandria via LeMat-Bulk
Functional: PBE
Structure: relaxed

Output
Relative energy among the computed polymorphs in eV/f.u.: 0.99
Uncorrected energy in eV/atom: -4.5774

Unit cell a=7.5728 b=7.5728 c=7.5728 alpha=60.00 beta=60.00 gamma=60.00
Last column: nearest neighbours and their distance in Å.
Sites, in units of the cell vectors:
In1 0.6250 0.1250 0.6250  6 Pd 2.74
Pd1 0.0594 0.0594 0.4406  2 H 2.02
Pd2 0.1906 0.1906 0.8094  2 H 2.02
Pd3 0.0594 0.4406 0.0594  2 H 2.02
Pd4 0.8094 0.1906 0.1906  2 H 2.02
In2 0.1250 0.6250 0.6250  6 Pd 2.74
Pd5 0.1906 0.8094 0.1906  2 H 2.02
Pd6 0.8094 0.1906 0.8094  2 H 2.02
H1 0.6250 0.1250 0.1250  6 Pd 2.02
Pd7 0.1906 0.8094 0.8094  2 H 2.02
Pd8 0.4406 0.4406 0.0594  2 H 2.02
H2 0.1250 0.6250 0.1250  6 Pd 2.02
H3 0.1250 0.1250 0.1250  6 Pd 2.02
Pd9 0.4406 0.0594 0.0594  2 H 2.02
Pd10 0.4406 0.0594 0.4406  2 H 2.02
H4 0.1250 0.1250 0.6250  6 Pd 2.02
In3 0.6250 0.6250 0.6250  6 Pd 2.74
In4 0.6250 0.6250 0.1250  6 Pd 2.74
Pd11 0.8094 0.8094 0.1906  2 H 2.02
Pd12 0.0594 0.4406 0.4406  2 H 2.02



2.
Compound: AsOs3
Source: Alexandria via LeMat-Bulk
Functional: PBE
Structure: relaxed

Output
Relative energy among the computed polymorphs in eV/f.u.: 1.19
Uncorrected energy in eV/atom: -9.0363

Unit cell a=2.8126 b=3.7560 c=5.6154 alpha=90.00 beta=90.00 gamma=90.00
Last column: nearest neighbours and their distance in Å.
Sites, in units of the cell vectors:
Os1 0.5000 0.5000 0.2609  8 Os 2.68-2.93, 4 As 2.77
Os2 0.0000 0.0000 0.5000  10 Os 2.70-2.81, 2 As 2.81
As1 0.0000 0.0000 0.0000  10 Os 2.77-2.81, 2 As 2.81
Os3 0.5000 0.5000 0.7391  8 Os 2.68-2.93, 4 As 2.77



3.
Compound: Ag2WCl
Source: Alexandria via LeMat-Bulk
Functional: PBE
Structure: relaxed

Output
Formation energy without anion corrections in meV per atom: 1124
Relative energy among the computed polymorphs in eV/f.u.: 3.03
Uncorrected energy in eV/atom: -4.0017

Unit cell a=5.7732 b=5.7732 c=5.7732 alpha=141.11 beta=141.11 gamma=56.18
Last column: nearest neighbours and their distance in Å.
Sites, in units of the cell vectors:
W1 0.7500 0.2500 0.5000  4 Cl 2.72
Ag1 0.0000 0.0000 0.0000  4 Ag 2.72
Cl1 0.2500 0.7500 0.5000  4 W 2.72
Ag2 0.5000 0.5000 0.0000  4 Ag 2.72



4.
Compound: Ce3DyEr2Sb6
Source: Alexandria via LeMat-Bulk
Functional: PBE
Structure: relaxed

Output
Formation energy without anion corrections in meV per atom: -1076
Uncorrected energy in eV/atom: -5.7645

Unit cell a=7.6817 b=7.6817 c=7.6693 alpha=99.61 beta=99.61 gamma=119.99
Last column: nearest neighbours and their distance in Å.
Sites, in units of the cell vectors:
Sb1 0.9193 0.5847 0.7578  2 Er 3.10, 1 Dy 3.11, 3 Ce 3.16-3.17
Ce1 0.8338 0.1662 0.5000  6 Sb 3.16-3.17
Sb2 0.2541 0.2541 0.7584  2 Er 3.10, 1 Dy 3.11, 3 Ce 3.16-3.17
Sb3 0.0807 0.4153 0.2422  2 Er 3.10, 1 Dy 3.11, 3 Ce 3.16-3.17
Er1 0.6669 0.3331 0.0000  6 Sb 3.10
Er2 0.3331 0.6669 0.0000  6 Sb 3.10
Sb4 0.5847 0.9193 0.7578  2 Er 3.10, 1 Dy 3.11, 3 Ce 3.16-3.17
Ce2 0.5000 0.5000 0.5000  6 Sb 3.16-3.17
Dy1 0.0000 0.0000 0.0000  6 Sb 3.11
Ce3 0.1662 0.8338 0.5000  6 Sb 3.16-3.17
Sb5 0.4153 0.0807 0.2422  2 Er 3.10, 1 Dy 3.11, 3 Ce 3.16-3.17
Sb6 0.7459 0.7459 0.2416  2 Er 3.10, 1 Dy 3.11, 3 Ce 3.16-3.17



5.
Compound: ZrTi3Au
Source: Alexandria via LeMat-Bulk
Functional: PBE
Structure: relaxed

Output
Relative energy among the computed polymorphs in eV/f.u.: 1.90
Uncorrected energy in eV/atom: -5.9941

Unit cell a=4.7511 b=4.7511 c=4.7511 alpha=90.00 beta=90.00 gamma=90.00
Last column: nearest neighbours and their distance in Å.
Sites, in units of the cell vectors:
Ti1 0.0000 0.5000 0.0000  2 Zr 2.38
Au1 0.5000 0.5000 0.5000  12 Ti 3.36
Zr1 0.0000 0.0000 0.0000  6 Ti 2.38
Ti2 0.5000 0.0000 0.0000  2 Zr 2.38
Ti3 0.0000 0.0000 0.5000  2 Zr 2.38



6.
Compound: NiHS2
Source: Alexandria via LeMat-Bulk
Functional: PBE
Structure: relaxed

Output
Relative energy among the computed polymorphs in eV/f.u.: 3.35
Uncorrected energy in eV/atom: -3.6788

Unit cell a=4.0140 b=4.0140 c=4.0140 alpha=60.00 beta=60.00 gamma=60.00
Last column: nearest neighbours and their distance in Å.
Sites, in units of the cell vectors:
Ni1 0.5000 0.5000 0.5000  8 S 2.46
S1 0.2500 0.2500 0.2500  4 H 2.46, 4 Ni 2.46
S2 0.7500 0.7500 0.7500  4 H 2.46, 4 Ni 2.46
H1 0.0000 0.0000 0.0000  8 S 2.46



7.
Compound: NaCoSn6
Source: Alexandria via LeMat-Bulk
Functional: PBE
Structure: relaxed

Output
Uncorrected energy in eV/atom: -4.0754

Unit cell a=6.6223 b=6.6213 c=6.9357 alpha=61.52 beta=61.50 gamma=59.98
Last column: nearest neighbours and their distance in Å.
Sites, in units of the cell vectors:
Sn1 0.0999 0.5572 0.2421  1 Co 2.51
Sn2 0.8990 0.9001 0.7578  1 Co 2.51
Sn3 0.4429 0.8990 0.7578  1 Co 2.51
Sn4 0.5571 0.1010 0.2422  1 Co 2.51
Sn5 0.1010 0.0999 0.2422  1 Co 2.51
Co1 0.0000 0.0000 0.0000  6 Sn 2.51
Sn6 0.9001 0.4428 0.7579  1 Co 2.51
Na1 0.5000 0.5000 0.5000  12 Sn 3.63-3.64



8.
Compound: KCe2I8
Source: Alexandria via LeMat-Bulk
Functional: PBE
Structure: relaxed

Output
Formation energy without anion corrections in meV per atom: -1228
Uncorrected energy in eV/atom: -3.5342

Unit cell a=6.3392 b=8.7621 c=8.7621 alpha=111.55 beta=95.96 gamma=95.96
Last column: nearest neighbours and their distance in Å.
Sites, in units of the cell vectors:
I1 0.0781 0.0589 0.3278  2 Ce 3.23-3.26
Ce1 0.0000 0.3182 0.6818  8 I 3.23-3.30
I2 0.9219 0.9411 0.6722  2 Ce 3.23-3.26
I3 0.0781 0.3278 0.0589  2 Ce 3.23-3.26
I4 0.5000 0.7463 0.2537  2 Ce 3.30, 1 K 3.68
I5 0.2826 0.5978 0.5978  2 Ce 3.23
Ce2 0.0000 0.6818 0.3182  8 I 3.23-3.30
I6 0.9219 0.6722 0.9411  2 Ce 3.23-3.26
I7 0.7174 0.4022 0.4022  2 Ce 3.23
I8 0.5000 0.2537 0.7463  2 Ce 3.30, 1 K 3.68
K1 0.5000 0.0000 0.0000  8 I 3.68-4.06